Compound: Al2PdWF
Source: Alexandria via LeMat-Bulk
Functional: PBE+U
Structure: optimized geometry

## Properties
Spin magnetization, μB per cell: 2.9
Theoretical density, Mg/m³: 4.60
Calculated total energy, eV per atom: -3.48

Lattice parameters (Å, degrees): 5.195 4.863 5.195 90.00 90.00 90.00
Each line ends with the local moment (μB).
Fractional positions:
W1 0.000 0.000 0.000  1.93
Al1 0.000 0.000 0.500  0.00
Al2 0.500 0.000 0.000  -0.01
Pd1 0.000 0.500 0.000  0.11
F1 0.500 0.500 0.500  0.14